The following is a DFT calculation (PBE-GGA) of a geometry-optimized Pr2CoPb structure.

Cell lengths 3.5384, 3.5384, 8.3916 Å; angles 90.00, 90.00, 90.00 degrees
Element x y z (fractional)
Pr  0.0000  0.0000  0.7949
Pr  0.0000  0.0000  0.2051
Co  0.5000  0.5000  0.0000
Pb  0.5000  0.5000  0.5000

Properties
Calculated formation energy (meV per atom): -204.1
Space group: P4/mmm
E (eV/f.u.): -21.19
DOS(E_F) (states/eV/atom): 0.697
ΔE to the lowest computed polymorph (eV per formula unit): 0.00